CsWF5 after structural relaxation, computed with PBE with a Hubbard U.

Unit cell a=10.2672 b=8.2562 c=8.3231 alpha=90.00 beta=108.51 gamma=90.00
Closest atoms and distances in Å follow each position.
Space group C2/c (No. 15)
Inequivalent atoms, fractional coordinates:
1 Cs 0.0000 0.0289 0.2500 x4  6 F 2.93-3.06
2 W 0.0000 0.5000 0.0000 x4  6 F 1.98-2.12
3 F 0.0000 0.4504 0.2500 x4  2 W 2.12
4 F 0.0163 0.2622 0.9721 x8  1 W 1.99
5 F 0.2022 0.4798 0.5811 x8  1 W 1.98

## Properties
E_tot ... -5.319 eV per atom